Entry 1:
LaNd5Ga5, optimized geometry, DFT PBE-GGA; D(E_F) = 1.170 states/eV per atom; energy relative to the elements = -0.32 eV per atom; magnetization = 0.00 Bohr magnetons per cell; crystal system = monoclinic
1.0
5.886 0.000 0.000
-2.943 7.738 0.851
0.000 -1.948 6.772
Ga Nd La
5 5 1
Direct
0.831 0.663 0.673 Ga
0.169 0.337 0.327 Ga
0.820 0.641 0.280 Ga
0.500 0.000 0.000 Ga
0.180 0.359 0.720 Ga
0.640 0.280 0.396 Nd
0.684 0.367 0.899 Nd
0.316 0.633 0.101 Nd
0.360 0.720 0.604 Nd
0.000 0.000 0.500 Nd
0.000 0.000 0.000 La

Entry 2:
LaNdGa, optimized geometry, DFT PBE-GGA; D(E_F) = 1.245 states/eV per atom; E above lowest polymorph = 3.42 kcal/mol of atoms; energy relative to the elements = -0.26 eV per atom; magnetization = 0.00 Bohr magnetons per cell; crystal system = cubic
1.0
5.158 0.000 0.000
2.579 4.467 0.000
2.579 1.489 4.211
Nd Ga La
1 1 1
Direct
0.000 0.000 0.000 Nd
0.250 0.250 0.250 Ga
0.500 0.500 0.500 La